Crystalline Tb2HoTm6Sc at its relaxed geometry. Source: Alexandria, functional GGA-PBE.

Cell: 9.372 8.574 8.574 Å, 117.49 94.17 94.17°
Sites, in units of the cell vectors:
Tb 0.046 0.303 0.199
Tb 0.954 0.697 0.801
Tb 0.546 0.199 0.303
Tb 0.454 0.801 0.697
Tm 0.943 0.872 0.251
Tm 0.617 0.496 0.707
Tm 0.189 0.569 0.011
Tm 0.057 0.128 0.749
Tm 0.811 0.431 0.989
Tm 0.311 0.989 0.431
Tm 0.883 0.293 0.504
Tm 0.689 0.011 0.569
Tm 0.383 0.504 0.293
Tm 0.117 0.707 0.496
Tm 0.557 0.749 0.128
Tm 0.443 0.251 0.872
Ho 0.250 0.979 0.021
Ho 0.750 0.021 0.979
Sc 0.750 0.589 0.411
Sc 0.250 0.411 0.589

Properties
Space group ... C2/c, No. 15
Magnetic moment ... 0.0 μB/cell
Formation energy from the elements ... 0.1260 eV per atom
Total energy ... -4.5739 eV/atom